Entry 1:
Compound: K3TlHg
Source: Alexandria
Functional: GGA-PBE
Structure: optimized geometry

```
K3TlHg
1.0
12.072 0.000 0.000
0.000 5.510 3.172
0.000 -5.510 3.172
K Tl Hg
6 2 2
direct
0.086 0.167 0.833 K
0.250 0.834 0.165 K
0.414 0.167 0.833 K
0.586 0.833 0.167 K
0.750 0.165 0.834 K
0.914 0.833 0.167 K
0.250 0.500 0.498 Tl
0.750 0.498 0.500 Tl
0.000 0.501 0.501 Hg
0.500 0.501 0.501 Hg
```

Values from the calculation:
- Calculated formation energy: -0.11 eV/atom
- SG: Ama2
- Excess energy over the best structure of this formula in the dataset: 0 meV per atom

Entry 2:
Compound: Mg3OsN
Source: Alexandria
Functional: GGA-PBE
Structure: optimized geometry

```
Mg3OsN
1.0
4.208 0.000 0.000
0.000 4.208 0.000
0.000 0.000 4.208
Mg Os N
3 1 1
direct
0.000 0.000 0.500 Mg
0.000 0.500 0.000 Mg
0.500 0.000 0.000 Mg
0.500 0.500 0.500 Os
0.000 0.000 0.000 N
```

Values from the calculation:
- Uncorrected formation energy: 162.3 meV/atom
- SG: Pm-3m
- Excess energy over the best structure of this formula in the dataset: 0 meV per atom

Entry 3:
Compound: PrNd9Sn2
Source: Alexandria
Functional: GGA-PBE
Structure: optimized geometry

```
PrNd9Sn2
1.0
4.995 0.000 0.000
0.000 4.995 0.000
0.000 0.000 15.459
Pr Nd Sn
1 9 2
direct
0.000 0.000 0.000 Pr
0.000 0.500 0.178 Nd
0.000 0.500 0.500 Nd
0.000 0.500 0.822 Nd
0.500 0.000 0.178 Nd
0.500 0.000 0.500 Nd
0.500 0.000 0.822 Nd
0.500 0.500 0.000 Nd
0.500 0.500 0.341 Nd
0.500 0.500 0.659 Nd
0.000 0.000 0.339 Sn
0.000 0.000 0.661 Sn
```

Values from the calculation:
- Calculated formation energy: -0.28 eV/atom
- SG: P4/mmm

Entry 4:
Compound: Ta2AgAu
Source: Alexandria
Functional: GGA-PBE
Structure: optimized geometry

```
Ta2AgAu
1.0
2.864 -4.250 0.000
2.864 4.250 0.000
-0.021 0.000 2.901
Ta Ag Au
2 1 1
direct
0.000 0.500 0.000 Ta
0.500 0.000 0.000 Ta
0.000 0.000 0.500 Ag
0.500 0.500 0.500 Au
```

Values from the calculation:
- Calculated formation energy: 0.18 eV/atom
- SG: C2/m
- Excess energy over the best structure of this formula in the dataset: 159 meV per atom

Entry 5:
Compound: NiAg2H6Pt
Source: Alexandria
Functional: GGA-PBE
Structure: optimized geometry

```
NiAg2H6Pt
1.0
-2.468 2.486 3.493
2.468 -2.486 3.493
2.468 2.486 -3.493
Ni Ag H Pt
1 2 6 1
direct
0.000 0.000 0.000 Ni
0.250 0.750 0.500 Ag
0.750 0.250 0.500 Ag
0.243 0.248 0.491 H
0.243 0.752 0.994 H
0.245 0.245 0.000 H
0.755 0.755 0.000 H
0.757 0.248 0.006 H
0.757 0.752 0.509 H
0.500 0.500 0.000 Pt
```

Values from the calculation:
- Electronic total energy: -0.2658 Ry/atom
- SG: Immm

Entry 6:
Compound: Pr8DySc3
Source: Alexandria
Functional: GGA-PBE
Structure: optimized geometry

```
Pr8DySc3
1.0
-3.423 5.430 5.800
3.423 -5.430 5.800
3.423 5.430 -5.800
Pr Dy Sc
8 1 3
direct
0.083 0.248 0.836 Pr
0.212 0.277 0.489 Pr
0.212 0.723 0.935 Pr
0.412 0.248 0.164 Pr
0.588 0.752 0.836 Pr
0.788 0.277 0.065 Pr
0.788 0.723 0.511 Pr
0.917 0.752 0.164 Pr
0.500 0.500 0.000 Dy
0.000 0.000 0.000 Sc
0.212 0.712 0.500 Sc
0.788 0.288 0.500 Sc
```

Values from the calculation:
- Calculated formation energy: 0.40 eV/atom
- SG: Immm

Entry 7:
Compound: MgZn6Cu6
Source: Alexandria
Functional: GGA-PBE
Structure: optimized geometry

```
MgZn6Cu6
1.0
-2.482 4.259 4.332
2.482 -4.259 4.332
2.482 4.259 -4.332
Mg Zn Cu
1 6 6
direct
0.000 0.000 0.000 Mg
0.192 0.692 0.500 Zn
0.340 0.000 0.340 Zn
0.346 0.346 0.000 Zn
0.654 0.654 0.000 Zn
0.660 0.000 0.660 Zn
0.808 0.308 0.500 Zn
0.000 0.000 0.500 Cu
0.000 0.500 0.000 Cu
0.229 0.500 0.729 Cu
0.500 0.000 0.000 Cu
0.500 0.500 0.500 Cu
0.771 0.500 0.271 Cu
```

Values from the calculation:
- Calculated formation energy: -0.10 eV/atom
- SG: Immm
- Excess energy over the best structure of this formula in the dataset: 0 meV per atom

Entry 8:
Compound: Ac4SbI5
Source: Alexandria
Functional: GGA-PBE
Structure: optimized geometry

```
Ac4SbI5
1.0
9.961 -2.233 0.000
9.961 2.233 0.000
-1.411 0.000 9.901
Ac Sb I
4 1 5
direct
0.003 0.003 0.232 Ac
0.334 0.334 0.935 Ac
0.666 0.666 0.065 Ac
0.997 0.997 0.768 Ac
0.500 0.500 0.000 Sb
0.166 0.166 0.800 I
0.171 0.171 0.324 I
0.500 0.500 0.500 I
0.829 0.829 0.676 I
0.834 0.834 0.200 I
```

Values from the calculation:
- Uncorrected formation energy: -1267.7 meV/atom
- SG: C2/m

Entry 9:
Compound: KLiMnI4
Source: Alexandria
Functional: GGA-PBE
Structure: optimized geometry

```
KLiMnI4
1.0
-3.855 3.855 5.590
3.855 -3.855 5.590
3.855 3.855 -5.590
K Li Mn I
1 1 1 4
direct
0.000 0.000 0.000 K
0.500 0.500 0.000 Li
0.250 0.750 0.500 Mn
0.189 0.613 0.070 I
0.387 0.457 0.575 I
0.543 0.118 0.930 I
0.882 0.811 0.425 I
```

Values from the calculation:
- Uncorrected formation energy: -945.0 meV/atom
- SG: I-4

Entry 10:
Compound: Pm3Pr6Sm2
Source: Alexandria
Functional: GGA-PBE
Structure: optimized geometry

```
Pm3Pr6Sm2
1.0
6.948 0.000 0.000
1.784 6.994 0.000
1.880 1.403 8.211
Pm Pr Sm
3 6 2
direct
0.000 0.000 0.000 Pm
0.328 0.143 0.637 Pm
0.672 0.857 0.363 Pm
0.176 0.981 0.337 Pr
0.299 0.645 0.694 Pr
0.454 0.246 0.002 Pr
0.546 0.754 0.998 Pr
0.701 0.355 0.306 Pr
0.824 0.019 0.663 Pr
0.153 0.524 0.296 Sm
0.847 0.476 0.704 Sm
```

Values from the calculation:
- Calculated formation energy: 0.13 eV/atom
- SG: P-1
- Excess energy over the best structure of this formula in the dataset: 0 meV per atom

Entry 11:
Compound: Ba2InO
Source: Alexandria
Functional: GGA-PBE
Structure: optimized geometry

```
Ba2InO
1.0
-3.925 3.925 4.832
3.925 -3.925 4.832
3.925 3.925 -4.832
Ba In O
4 2 2
direct
0.014 0.125 0.389 Ba
0.375 0.986 0.111 Ba
0.736 0.625 0.611 Ba
0.875 0.264 0.889 Ba
0.250 0.750 0.500 In
0.500 0.500 0.000 In
0.000 0.000 0.000 O
0.750 0.250 0.500 O
```

Values from the calculation:
- Uncorrected formation energy: -1283.0 meV/atom
- SG: I-42d
- Excess energy over the best structure of this formula in the dataset: 88 meV per atom

Entry 12:
Compound: Y3TaTi
Source: Alexandria
Functional: GGA-PBE
Structure: optimized geometry

```
Y3TaTi
1.0
5.434 0.000 0.000
0.000 5.434 0.000
0.000 0.000 5.434
Y Ta Ti
3 1 1
direct
0.000 0.000 0.500 Y
0.000 0.500 0.000 Y
0.500 0.000 0.000 Y
0.000 0.000 0.000 Ta
0.500 0.500 0.500 Ti
```

Values from the calculation:
- Calculated formation energy: 0.98 eV/atom
- SG: Pm-3m
- Excess energy over the best structure of this formula in the dataset: 0 meV per atom